Record 1
First-principles (PBE-GGA) data for an optimized crystal structure of ThAsW, as listed in the Open Quantum Materials Database.

Unit cell a=4.6218 b=4.6218 c=4.6218 alpha=60.00 beta=60.00 gamma=60.00
Atoms (fractional coordinates):
W: 0.2500 0.2500 0.2500
As: 0.0000 0.0000 0.0000
Th: 0.5000 0.5000 0.5000

Summary:
VASP energy   -7.996 eV/atom
Crystal system   cubic

Record 2
First-principles (PBE-GGA) data for an optimized crystal structure of ThNpPa, as listed in the Open Quantum Materials Database.

Unit cell a=4.7776 b=4.7776 c=4.7776 alpha=60.00 beta=60.00 gamma=60.00
Atoms (fractional coordinates):
Pa: 0.2500 0.2500 0.2500
Np: 0.0000 0.0000 0.0000
Th: 0.7500 0.7500 0.7500

Summary:
ΔH_f (0 K)   0.8485 eV per atom
E above lowest polymorph   0.000 eV/atom
Crystal system   cubic

Record 3
First-principles (PBE-GGA) data for an optimized crystal structure of AcAlPt, as listed in the Open Quantum Materials Database.

Unit cell a=4.8891 b=4.8891 c=4.8891 alpha=60.00 beta=60.00 gamma=60.00
Atoms (fractional coordinates):
Al: 0.7500 0.7500 0.7500
Ac: 0.2500 0.2500 0.2500
Pt: 0.0000 0.0000 0.0000

Summary:
E above lowest polymorph   0.357 eV/atom
Crystal system   cubic

Record 4
First-principles (PBE-GGA) data for an optimized crystal structure of LiZrAlNi, as listed in the Open Quantum Materials Database.

Unit cell a=4.3626 b=4.3626 c=6.1712 alpha=90.00 beta=90.00 gamma=90.00
Atoms (fractional coordinates):
Li: 0.0000 0.0000 0.5000
Li: 0.5000 0.5000 0.0000
Al: 0.5000 0.0000 0.2492
Al: 0.0000 0.5000 0.7508
Zr: 0.5000 0.0000 0.7494
Zr: 0.0000 0.5000 0.2506
Ni: 0.0000 0.0000 0.0000
Ni: 0.5000 0.5000 0.5000

Summary:
E above lowest polymorph   0.000 eV/atom
Crystal system   tetragonal

Record 5
First-principles (PBE-GGA) data for an optimized crystal structure of Ho3GeSe2, as listed in the Open Quantum Materials Database.

Unit cell a=7.0947 b=7.0947 c=7.0947 alpha=146.31 beta=132.07 gamma=59.86
Atoms (fractional coordinates):
Se: 0.1687 0.1687 0.0000
Se: 0.8313 0.8313 0.0000
Ho: 0.3413 0.8413 0.5000
Ho: 0.6587 0.1587 0.5000
Ho: 0.0000 0.5000 0.5000
Ge: 0.5000 0.5000 0.0000

Summary:
VASP energy   -5.774 eV/atom
Crystal system   orthorhombic

Record 6
First-principles (PBE-GGA) data for an optimized crystal structure of Ho2ErMg3Pd2Pt, as listed in the Open Quantum Materials Database.

Unit cell a=4.0988 b=7.3464 c=7.3464 alpha=120.01 beta=90.00 gamma=90.00
Atoms (fractional coordinates):
Pt: 0.0000 0.0007 0.0007
Ho: 0.0000 0.0000 0.5929
Ho: 0.0000 0.5929 0.0000
Mg: 0.5000 0.7547 0.7547
Mg: 0.5000 0.2451 0.0003
Mg: 0.5000 0.0003 0.2451
Er: 0.0000 0.4066 0.4066
Pd: 0.5000 0.3336 0.6660
Pd: 0.5000 0.6660 0.3336

Summary:
VASP energy   -4.650 eV/atom
Crystal system   orthorhombic